Record 1
Compound: MgCd2Au6
Source: Alexandria via LeMat-Bulk
Functional: GGA-PBE
Structure: relaxed

Unit cell a=3.9686 b=8.4255 c=7.4765 alpha=124.30 beta=105.41 gamma=90.00
Closest atoms and distances in Å follow each position.
Fractional coordinates of all 9 atoms:
Mg 0.0000 0.0000 0.0000  8 Au 2.80-2.83
Cd 0.6607 0.6607 0.3215  8 Au 2.89-2.92
Cd 0.3393 0.3393 0.6785  8 Au 2.89-2.92
Au 0.1660 0.4111 0.3320  4 Au 2.78-2.79, 1 Mg 2.83, 3 Cd 2.89-2.92
Au 0.8340 0.0791 0.6680  4 Au 2.78-2.79, 1 Mg 2.83, 3 Cd 2.89-2.92
Au 0.8340 0.5889 0.6680  4 Au 2.78-2.79, 1 Mg 2.83, 3 Cd 2.89-2.92
Au 0.5000 0.2346 0.0000  4 Au 2.78, 2 Mg 2.80, 2 Cd 2.92
Au 0.1660 0.9209 0.3320  4 Au 2.78-2.79, 1 Mg 2.83, 3 Cd 2.89-2.92
Au 0.5000 0.7654 0.0000  4 Au 2.78, 2 Mg 2.80, 2 Cd 2.92

Output
offset from the most stable computed form = 51 meV/atom
total magnetization = 0.00 Bohr magnetons per cell
final energy = -24.698 eV/cell
ΔE_f = -0.18 eV per atom
D(E_F) = 1.79 states/eV/f.u.
space-group type = Immm

Record 2
Compound: MgCd2Au3
Source: Alexandria via LeMat-Bulk
Functional: GGA-PBE
Structure: relaxed

Unit cell a=3.3684 b=3.3684 c=10.0480 alpha=90.00 beta=90.00 gamma=90.00
Closest atoms and distances in Å follow each position.
Fractional coordinates of all 6 atoms:
Mg 0.5000 0.5000 0.5000  8 Au 2.83
Cd 0.5000 0.5000 0.8280  8 Au 2.94-2.97
Cd 0.5000 0.5000 0.1720  8 Au 2.94-2.97
Au 0.0000 0.0000 0.0000  8 Cd 2.94
Au 0.0000 0.0000 0.6523  4 Mg 2.83, 4 Cd 2.97, 1 Au 3.06
Au 0.0000 0.0000 0.3477  4 Mg 2.83, 4 Cd 2.97, 1 Au 3.06

Output
total magnetization = 0.00 Bohr magnetons per cell
final energy = -15.264 eV/cell
ΔE_f = -0.33 eV per atom
D(E_F) = 0.72 states/eV/f.u.
space-group type = P4/mmm